Entry from Alexandria: a geometry-optimized FePIO2 structure (PBE with a Hubbard U).

size of the total moment = 5.48 μB/cell
N(E_F) = 0.64 states/eV per atom
energy = -4.441 eV per atom
symmetry = P4/mmm (123)
crystal system = tetragonal
ΔE to the lowest computed polymorph = 9.2 kJ per mole of atoms

Cell lengths 3.796, 3.796, 7.141 Å; angles 90.00, 90.00, 90.00 degrees
Sites, in units of the cell vectors:
Fe: 0.000 0.000 0.000
O: 0.000 0.500 0.000
P: 0.500 0.500 0.500
I: 0.000 0.000 0.500
O: 0.500 0.000 0.000